Record 1
Material: MnCo2Tc
Method: DFT, PBE-GGA
State: optimized geometry

- Crystal system: tetragonal
- Size of the total moment: 1.3 μB/f.u.
- Relative energy among the computed polymorphs: 0.030 eV/atom
- Space group: I4/mmm

abc: 4.424 4.424 4.424
angles: 132.14 132.14 70.02
Positions (direct):
Mn 0.000 0.000 0.000
Co 0.250 0.750 0.500
Co 0.750 0.250 0.500
Tc 0.500 0.500 0.000


Record 2
Material: Co2SiRh
Method: DFT, PBE-GGA
State: optimized geometry

- Crystal system: tetragonal
- Energy relative to the elements, uncorrected: -255.5 meV/atom
- Size of the total moment: 2.5 μB/f.u.
- Space group: P4/mmm

abc: 2.722 2.722 6.295
angles: 90.00 90.00 90.00
Positions (direct):
Co 0.000 0.000 0.215
Co 0.000 0.000 0.785
Si 0.500 0.500 0.000
Rh 0.500 0.500 0.500